(1)
DFT (PBE) results for crystalline LaCd2F at its relaxed geometry.

```
8
Lattice="-4.864 4.864 2.348 4.864 -4.864 2.348 4.864 4.864 -2.348" Properties=species:S:1:pos:R:3 pbc="T T T"
La 0.000 0.000 0.000
La 0.000 4.864 1.174
Cd 2.432 -1.703 1.761
Cd 3.161 2.432 0.587
Cd 2.432 6.568 -0.587
Cd 1.703 2.432 2.935
F 4.864 0.000 1.174
F 0.000 0.000 2.348
```

## Properties
polymorph energy (0 for the lowest one) = 0.0 meV per atom
crystal system = tetragonal

=====

(2)
DFT (PBE) results for crystalline LaCdF2 at its relaxed geometry.

```
4
Lattice="1.841 1.063 8.904 -1.841 1.063 8.904 0.000 -2.125 8.904" Properties=species:S:1:pos:R:3 pbc="T T T"
La 0.000 0.000 0.000
Cd 0.000 0.000 13.357
F 0.000 0.000 2.175
F 0.000 0.000 24.538
```

## Properties
polymorph energy (0 for the lowest one) = 542.0 meV per atom
crystal system = trigonal

=====

(3)
DFT (PBE) results for crystalline La2CdF at its relaxed geometry.

```
4
Lattice="1.993 1.151 7.676 -1.993 1.151 7.676 0.000 -2.301 7.676" Properties=species:S:1:pos:R:3 pbc="T T T"
La 0.000 0.000 5.254
La 0.000 0.000 17.773
Cd 0.000 0.000 0.000
F 0.000 0.000 11.514
```

## Properties
polymorph energy (0 for the lowest one) = 0.0 meV per atom
crystal system = trigonal

=====

(4)
DFT (PBE) results for crystalline LaCdF2 at its relaxed geometry.

```
4
Lattice="0.000 3.329 3.329 3.329 0.000 3.329 3.329 3.329 0.000" Properties=species:S:1:pos:R:3 pbc="T T T"
La 0.000 0.000 0.000
Cd 3.329 3.329 3.329
F 1.665 1.665 1.665
F 4.994 4.994 4.994
```

## Properties
polymorph energy (0 for the lowest one) = 413.0 meV per atom
crystal system = cubic

=====

(5)
DFT (PBE) results for crystalline LaCdF2 at its relaxed geometry.

```
4
Lattice="1.860 1.074 9.214 -1.860 1.074 9.214 0.000 -2.148 9.214" Properties=species:S:1:pos:R:3 pbc="T T T"
La 0.000 0.000 0.000
Cd 0.000 0.000 13.822
F 0.000 0.000 10.454
F 0.000 0.000 17.189
```

## Properties
polymorph energy (0 for the lowest one) = 101.5 meV per atom
crystal system = trigonal

=====

(6)
DFT (PBE) results for crystalline La2CdF8 at its relaxed geometry.

```
11
Lattice="7.375 -1.980 0.000 7.375 1.980 0.000 -2.028 0.000 5.281" Properties=species:S:1:pos:R:3 pbc="T T T"
La 2.147 0.000 0.928
La 10.574 0.000 4.353
Cd 6.361 0.000 2.641
F -0.161 0.000 1.595
F 1.561 0.000 4.324
F 3.743 0.000 2.858
F 5.839 0.000 0.396
F 6.883 0.000 4.885
F 8.979 0.000 2.423
F 11.160 0.000 0.957
F 12.883 0.000 3.686
```

## Properties
crystal system = monoclinic
calculated total energy = -65.36 eV/f.u.

=====

(7)
DFT (PBE) results for crystalline LaCdF2 at its relaxed geometry.

```
8
Lattice="-2.763 2.763 7.271 2.763 -2.763 7.271 2.763 2.763 -7.271" Properties=species:S:1:pos:R:3 pbc="T T T"
La 0.000 0.000 0.000
La 0.000 2.763 3.635
Cd 2.763 0.000 3.635
Cd 0.000 0.000 7.271
F 0.189 1.382 1.818
F -1.382 2.574 5.453
F -0.189 4.145 1.818
F 1.382 2.953 5.453
```

## Properties
polymorph energy (0 for the lowest one) = 0.0 meV per atom
crystal system = tetragonal

=====

(8)
DFT (PBE) results for crystalline La3CdF at its relaxed geometry.

```
5
Lattice="5.158 0.000 0.000 0.000 5.158 0.000 0.000 0.000 5.158" Properties=species:S:1:pos:R:3 pbc="T T T"
La 0.000 0.000 2.579
La 0.000 2.579 0.000
La 2.579 0.000 0.000
Cd 2.579 2.579 2.579
F 0.000 0.000 0.000
```

## Properties
polymorph energy (0 for the lowest one) = 0.0 meV per atom
crystal system = cubic

=====

(9)
DFT (PBE) results for crystalline La2CdF at its relaxed geometry.

```
4
Lattice="0.000 3.779 3.779 3.779 0.000 3.779 3.779 3.779 0.000" Properties=species:S:1:pos:R:3 pbc="T T T"
La 1.890 1.890 1.890
La 5.669 5.669 5.669
Cd 0.000 0.000 0.000
F 3.779 3.779 3.779
```

## Properties
polymorph energy (0 for the lowest one) = 390.1 meV per atom
crystal system = cubic

=====

(10)
DFT (PBE) results for crystalline La2CdF at its relaxed geometry.

```
8
Lattice="-3.111 3.111 6.656 3.111 -3.111 6.656 3.111 3.111 -6.656" Properties=species:S:1:pos:R:3 pbc="T T T"
La 4.667 0.997 -1.664
La 0.997 1.556 1.664
La -1.556 2.115 4.992
La 2.115 1.556 8.320
Cd 3.111 0.000 3.328
Cd 0.000 0.000 6.656
F 0.000 0.000 0.000
F 0.000 3.111 3.328
```

## Properties
polymorph energy (0 for the lowest one) = 175.3 meV per atom
crystal system = tetragonal

=====

(11)
DFT (PBE) results for crystalline LaCd2F at its relaxed geometry.

```
4
Lattice="0.000 3.695 3.695 3.695 0.000 3.695 3.695 3.695 0.000" Properties=species:S:1:pos:R:3 pbc="T T T"
La 0.000 0.000 0.000
Cd 1.847 1.847 1.847
Cd 5.542 5.542 5.542
F 3.695 3.695 3.695
```

## Properties
polymorph energy (0 for the lowest one) = 558.0 meV per atom
crystal system = cubic

=====

(12)
DFT (PBE) results for crystalline LaCd3F at its relaxed geometry.

```
5
Lattice="6.503 0.000 0.000 0.000 6.503 0.000 0.000 0.000 6.503" Properties=species:S:1:pos:R:3 pbc="T T T"
La 0.000 0.000 0.000
Cd 0.000 0.000 3.252
Cd 0.000 3.252 0.000
Cd 3.252 0.000 0.000
F 3.252 3.252 3.252
```

## Properties
polymorph energy (0 for the lowest one) = 887.6 meV per atom
crystal system = cubic

=====

(13)
DFT (PBE) results for crystalline LaCd2F8 at its relaxed geometry.

```
11
Lattice="-2.741 2.741 5.816 2.741 -2.741 5.816 2.741 2.741 -5.816" Properties=species:S:1:pos:R:3 pbc="T T T"
La 0.000 0.000 0.000
Cd 2.741 0.000 2.908
Cd 0.000 2.741 2.908
F 1.321 1.321 -1.557
F 1.420 -1.420 4.259
F 1.321 1.321 1.557
F 1.420 -1.420 7.373
F -1.420 1.420 4.259
F 1.420 1.420 4.259
F -1.420 1.420 7.373
F 1.420 1.420 7.373
```

## Properties
crystal system = tetragonal
calculated total energy = -50.47 eV/f.u.

=====

(14)
DFT (PBE) results for crystalline La2CdF2 at its relaxed geometry.

```
5
Lattice="-1.989 1.989 7.209 1.989 -1.989 7.209 1.989 1.989 -7.209" Properties=species:S:1:pos:R:3 pbc="T T T"
La 0.000 0.000 1.993
La 0.000 0.000 12.425
Cd 0.000 0.000 7.209
F 1.989 0.000 3.605
F 0.000 1.989 3.605
```

## Properties
crystal system = tetragonal
calculated total energy = -25.90 eV/f.u.

=====

(15)
DFT (PBE) results for crystalline La2Cd2F at its relaxed geometry.

```
10
Lattice="7.069 0.000 0.000 0.000 7.069 0.000 0.000 0.000 5.537" Properties=species:S:1:pos:R:3 pbc="T T T"
La 1.193 2.342 0.000
La 2.342 5.876 0.000
La 4.728 1.193 0.000
La 5.876 4.728 0.000
Cd 1.024 4.559 2.768
Cd 2.511 1.024 2.768
Cd 4.559 6.046 2.768
Cd 6.046 2.511 2.768
F 0.000 0.000 0.000
F 3.535 3.535 0.000
```

## Properties
crystal system = tetragonal
calculated total energy = -19.03 eV/f.u.

=====

(16)
DFT (PBE) results for crystalline LaCdF6 at its relaxed geometry.

```
8
Lattice="3.760 0.000 0.000 0.000 3.548 4.416 0.000 -3.548 4.416" Properties=species:S:1:pos:R:3 pbc="T T T"
La 0.000 0.000 0.000
Cd 1.880 0.000 4.420
F 0.000 0.000 3.154
F 0.000 -1.288 5.383
F 0.000 1.288 5.383
F 1.880 -2.217 3.544
F 1.880 0.000 1.457
F 1.880 2.217 3.544
```

## Properties
crystal system = orthorhombic
calculated total energy = -38.94 eV/f.u.

=====

(17)
DFT (PBE) results for crystalline LaCdF5 at its relaxed geometry.

```
14
Lattice="4.911 -3.641 0.000 4.911 3.641 0.000 -3.425 0.000 7.488" Properties=species:S:1:pos:R:3 pbc="T T T"
La 2.342 3.304 5.616
La 4.055 -3.304 1.872
Cd 4.911 0.000 0.000
Cd 3.199 0.000 3.744
F 4.733 2.318 0.255
F 3.376 2.318 3.489
F 1.217 0.156 2.790
F -0.495 -0.156 6.533
F 2.342 0.890 5.616
F 4.055 -0.890 1.872
F 6.893 0.156 0.954
F 5.180 -0.156 4.698
F 3.021 -2.318 3.999
F 1.664 -2.318 7.233
```

## Properties
crystal system = monoclinic
calculated total energy = -38.17 eV/f.u.

=====

(18)
DFT (PBE) results for crystalline Li2LaCdF at its relaxed geometry.

```
5
Lattice="4.493 0.000 0.000 0.000 4.493 0.000 0.000 0.000 5.146" Properties=species:S:1:pos:R:3 pbc="T T T"
Li 0.000 2.247 0.000
Li 2.247 0.000 0.000
La 0.000 0.000 2.573
Cd 2.247 2.247 2.573
F 0.000 0.000 0.000
```

## Properties
crystal system = tetragonal
calculated total energy = -16.96 eV/f.u.

=====

(19)
DFT (PBE) results for crystalline Na2LaCdF at its relaxed geometry.

```
5
Lattice="4.784 0.000 0.000 0.000 4.784 0.000 0.000 0.000 5.332" Properties=species:S:1:pos:R:3 pbc="T T T"
Na 0.000 2.392 0.000
Na 2.392 0.000 0.000
La 0.000 0.000 2.666
Cd 2.392 2.392 2.666
F 0.000 0.000 0.000
```

## Properties
crystal system = tetragonal
calculated total energy = -15.47 eV/f.u.

=====

(20)
DFT (PBE) results for crystalline Na2LaCdF8 at its relaxed geometry.

```
12
Lattice="4.002 0.000 0.000 0.000 5.538 0.000 0.000 0.000 7.889" Properties=species:S:1:pos:R:3 pbc="T T T"
Na 0.000 0.000 1.892
Na 0.000 0.000 5.997
La 2.001 2.769 3.944
Cd 2.001 2.769 0.000
F 0.000 1.412 3.944
F 0.000 1.487 0.000
F 0.000 4.051 0.000
F 0.000 4.126 3.944
F 2.001 1.432 1.913
F 2.001 1.432 5.975
F 2.001 4.106 1.913
F 2.001 4.106 5.975
```

## Properties
crystal system = orthorhombic
calculated total energy = -57.43 eV/f.u.

=====

(21)
DFT (PBE) results for crystalline La2CdPbF at its relaxed geometry.

```
5
Lattice="6.217 0.000 0.000 0.000 6.217 0.000 0.000 0.000 5.451" Properties=species:S:1:pos:R:3 pbc="T T T"
La 0.000 3.108 0.000
La 3.108 0.000 0.000
Cd 0.000 0.000 2.725
Pb 0.000 0.000 0.000
F 3.108 3.108 2.725
```

## Properties
crystal system = tetragonal
calculated total energy = -16.84 eV/f.u.

=====

(22)
DFT (PBE) results for crystalline LaCdPdF2 at its relaxed geometry.

```
5
Lattice="4.214 0.000 0.000 0.000 4.214 0.000 0.000 0.000 8.494" Properties=species:S:1:pos:R:3 pbc="T T T"
La 0.000 0.000 0.000
Cd 0.000 0.000 4.247
Pd 2.107 2.107 0.000
F 0.000 2.107 4.247
F 2.107 0.000 4.247
```

## Properties
crystal system = tetragonal
calculated total energy = -20.12 eV/f.u.

=====

(23)
DFT (PBE) results for crystalline Rb2LaCd3F12 at its relaxed geometry.

```
18
Lattice="4.059 2.344 6.032 -4.059 2.344 6.032 0.000 -4.687 6.032" Properties=species:S:1:pos:R:3 pbc="T T T"
Rb 0.000 0.000 2.172
Rb 0.000 0.000 15.923
La 0.000 0.000 9.047
Cd -2.030 -1.172 6.032
Cd -2.030 1.172 12.063
Cd 0.000 2.344 6.032
F -2.023 -1.168 8.275
F 0.000 -1.808 6.530
F -1.565 0.904 6.530
F 0.000 -2.336 9.820
F -2.023 1.168 9.820
F -1.565 -0.904 11.565
F 1.565 0.904 6.530
F 2.023 -1.168 8.275
F 0.000 2.336 8.275
F 1.565 -0.904 11.565
F 0.000 1.808 11.565
F 2.023 1.168 9.820
```

## Properties
crystal system = trigonal
calculated total energy = -78.60 eV/f.u.

=====

(24)
DFT (PBE) results for crystalline RbLaCdF6 at its relaxed geometry.

```
18
Lattice="-4.142 4.386 6.053 4.142 -4.386 6.053 4.142 4.386 -6.053" Properties=species:S:1:pos:R:3 pbc="T T T"
Rb 0.000 2.193 0.280
Rb 4.142 2.193 5.772
La 4.142 0.000 0.000
La 0.000 0.000 6.053
Cd 2.071 2.193 -3.026
Cd 2.071 -2.193 3.026
F 2.359 -0.653 1.343
F 5.926 -0.653 1.343
F 4.142 -2.193 3.673
F 2.359 3.733 -1.343
F 1.784 -0.653 4.710
F 4.142 2.193 0.889
F 0.000 2.193 5.163
F 2.359 5.038 1.343
F 1.784 0.653 7.396
F 0.000 6.578 2.380
F -1.784 5.038 4.710
F 1.784 5.038 4.710
```

## Properties
crystal system = orthorhombic
calculated total energy = -46.24 eV/f.u.

=====

(25)
DFT (PBE) results for crystalline Rb2LaCdF6 at its relaxed geometry.

```
10
Lattice="0.000 4.827 4.827 4.827 0.000 4.827 4.827 4.827 0.000" Properties=species:S:1:pos:R:3 pbc="T T T"
Rb 2.413 2.413 2.413
Rb 7.240 7.240 7.240
La 0.000 0.000 0.000
Cd 4.827 4.827 4.827
F 4.827 4.827 2.319
F 4.827 2.319 4.827
F 7.335 4.827 4.827
F 2.319 4.827 4.827
F 4.827 7.335 4.827
F 4.827 4.827 7.335
```

## Properties
crystal system = cubic
calculated total energy = -48.10 eV/f.u.

=====

Number 1: volume 27.8 A^3/atom. Number 2: volume 26.1 A^3/atom. Number 3: volume 26.4 A^3/atom. Number 4: volume 18.5 A^3/atom. Number 5: volume 27.6 A^3/atom. Number 6: volume 14.0 A^3/atom. Number 7: volume 27.8 A^3/atom. Number 8: volume 27.5 A^3/atom. Number 9: volume 27.0 A^3/atom. Number 10: volume 32.2 A^3/atom. Number 11: volume 25.2 A^3/atom. Number 12: volume 55.0 A^3/atom. Number 13: volume 15.9 A^3/atom. Number 14: volume 22.8 A^3/atom. Number 15: volume 27.7 A^3/atom. Number 16: volume 14.7 A^3/atom. Number 17: volume 19.1 A^3/atom. Number 18: volume 20.8 A^3/atom. Number 19: volume 24.4 A^3/atom. Number 20: volume 14.6 A^3/atom. Number 21: volume 42.1 A^3/atom. Number 22: volume 30.2 A^3/atom. Number 23: volume 19.1 A^3/atom. Number 24: volume 24.4 A^3/atom. Number 25: volume 22.5 A^3/atom.